(1)
# NaCrTeN2 PBE relaxed
data_NaCrTeN2
_chemical_formula_sum 'Na1 Cr1 Te1 N2'
_symmetry_space_group_name_H-M 'P 4/m m m'
_symmetry_Int_Tables_number 123
_symmetry_space_group_name_Hall '-P 4 2'
_cell_length_a 4.087
_cell_length_b 4.087
_cell_length_c 5.365
_cell_angle_alpha 90.00
_cell_angle_beta 90.00
_cell_angle_gamma 90.00
loop_
_atom_site_label
_atom_site_fract_x
_atom_site_fract_y
_atom_site_fract_z
Na1 0.000 0.000 0.000
Cr1 0.500 0.500 0.500
Te1 0.000 0.000 0.500
N1 0.000 0.500 0.000
# Size of the total moment: 1.2 μB/f.u.
# Energy above the most stable polymorph in this dataset: 2.1274 eV/atom
# ΔE_f (raw): 2.5412 eV per atom
# Density: 4274 kg/m3


(2)
# Na2ThCrN4 PBE relaxed
data_Na2ThCrN4
_chemical_formula_sum 'Na4 Th2 Cr2 N8'
_symmetry_space_group_name_H-M 'P m n 21'
_symmetry_Int_Tables_number 31
_symmetry_space_group_name_Hall 'P 2ac -2'
_cell_length_a 6.628
_cell_length_b 7.406
_cell_length_c 5.106
_cell_angle_alpha 90.00
_cell_angle_beta 90.00
_cell_angle_gamma 90.00
loop_
_atom_site_label
_atom_site_fract_x
_atom_site_fract_y
_atom_site_fract_z
Na1 0.245 0.123 0.000
Th1 0.000 0.398 0.509
Cr1 0.000 0.695 0.948
N1 0.000 0.457 0.013
N2 0.000 0.691 0.616
N3 0.230 0.800 0.040
# Size of the total moment: 0.0 μB/f.u.
# ΔE_f (raw): -0.6876 eV per atom
# Density: 5115 kg/m3


(3)
# NaTi2CrN PBE relaxed
data_NaTi2CrN
_chemical_formula_sum 'Na1 Ti2 Cr1 N1'
_symmetry_space_group_name_H-M 'P 4/m m m'
_symmetry_Int_Tables_number 123
_symmetry_space_group_name_Hall '-P 4 2'
_cell_length_a 4.101
_cell_length_b 4.101
_cell_length_c 4.666
_cell_angle_alpha 90.00
_cell_angle_beta 90.00
_cell_angle_gamma 90.00
loop_
_atom_site_label
_atom_site_fract_x
_atom_site_fract_y
_atom_site_fract_z
Na1 0.000 0.000 0.000
Ti1 0.000 0.500 0.500
Cr1 0.500 0.500 0.000
N1 0.000 0.000 0.500
# Size of the total moment: 2.4 μB/f.u.
# ΔE_f (raw): -0.0365 eV per atom
# Density: 3910 kg/m3


(4)
# Na2UCrN4 PBE relaxed
data_Na2UCrN4
_chemical_formula_sum 'Na4 U2 Cr2 N8'
_symmetry_space_group_name_H-M 'P m n 21'
_symmetry_Int_Tables_number 31
_symmetry_space_group_name_Hall 'P 2ac -2'
_cell_length_a 6.530
_cell_length_b 7.378
_cell_length_c 4.738
_cell_angle_alpha 90.00
_cell_angle_beta 90.00
_cell_angle_gamma 90.00
loop_
_atom_site_label
_atom_site_fract_x
_atom_site_fract_y
_atom_site_fract_z
Na1 0.242 0.128 0.000
U1 0.000 0.393 0.507
Cr1 0.000 0.684 0.954
N1 0.000 0.436 0.998
N2 0.000 0.660 0.571
N3 0.246 0.795 0.008
# Size of the total moment: 2.0 μB/f.u.
# ΔE_f (raw): -0.5804 eV per atom
# Density: 5704 kg/m3


(5)
# Na4U3CrN8 PBE relaxed
data_Na4U3CrN8
_chemical_formula_sum 'Na12 U9 Cr3 N24'
_symmetry_space_group_name_H-M 'R -3 m'
_symmetry_Int_Tables_number 166
_symmetry_space_group_name_Hall '-R 3 2"'
_cell_length_a 6.7877
_cell_length_b 6.7877
_cell_length_c 16.9574
_cell_angle_alpha 90.00
_cell_angle_beta 90.00
_cell_angle_gamma 120.00
loop_
_atom_site_label
_atom_site_fract_x
_atom_site_fract_y
_atom_site_fract_z
Na1 0.0000 0.0000 0.0000
Na2 0.0000 0.5000 0.0000
U1 0.0000 0.5000 0.5000
Cr1 0.0000 0.0000 0.5000
N1 0.0000 0.0000 0.2296
N2 0.0055 0.5028 0.7725
# Size of the total moment: 2.1 μB/f.u.
# ΔE_f (raw): -0.8579 eV per atom
# Density: 7143 kg/m3


(6)
# NaUCrN3 PBE relaxed
data_NaUCrN3
_chemical_formula_sum 'Na2 U2 Cr2 N6'
_symmetry_space_group_name_H-M 'P 1 21/m 1'
_symmetry_Int_Tables_number 11
_symmetry_space_group_name_Hall '-P 2yb'
_cell_length_a 6.864
_cell_length_b 3.463
_cell_length_c 8.705
_cell_angle_alpha 90.00
_cell_angle_beta 104.10
_cell_angle_gamma 90.00
loop_
_atom_site_label
_atom_site_fract_x
_atom_site_fract_y
_atom_site_fract_z
Na1 0.169 0.250 0.149
U1 0.331 0.750 0.847
Cr1 0.044 0.250 0.609
N1 0.125 0.250 0.842
N2 0.156 0.750 0.590
N3 0.454 0.750 0.112
# Size of the total moment: 2.0 μB/f.u.
# ΔE_f (raw): -0.7684 eV per atom
# Density: 5875 kg/m3


(7)
# Na2CrWN4 PBE relaxed
data_Na2CrWN4
_chemical_formula_sum 'Na4 Cr2 W2 N8'
_symmetry_space_group_name_H-M 'P m n 21'
_symmetry_Int_Tables_number 31
_symmetry_space_group_name_Hall 'P 2ac -2'
_cell_length_a 6.471
_cell_length_b 6.066
_cell_length_c 5.834
_cell_angle_alpha 90.00
_cell_angle_beta 90.00
_cell_angle_gamma 90.00
loop_
_atom_site_label
_atom_site_fract_x
_atom_site_fract_y
_atom_site_fract_z
Na1 0.248 0.232 0.000
Cr1 0.000 0.688 0.000
W1 0.000 0.322 0.500
N1 0.000 0.504 0.758
N2 0.000 0.506 0.243
N3 0.245 0.838 0.999
# Size of the total moment: 1.2 μB/f.u.
# ΔE_f (raw): -0.4033 eV per atom
# Density: 4899 kg/m3


(8)
# NaZr2CrN PBE relaxed
data_NaZr2CrN
_chemical_formula_sum 'Na1 Zr2 Cr1 N1'
_symmetry_space_group_name_H-M 'P 4/m m m'
_symmetry_Int_Tables_number 123
_symmetry_space_group_name_Hall '-P 4 2'
_cell_length_a 4.690
_cell_length_b 4.690
_cell_length_c 4.927
_cell_angle_alpha 90.00
_cell_angle_beta 90.00
_cell_angle_gamma 90.00
loop_
_atom_site_label
_atom_site_fract_x
_atom_site_fract_y
_atom_site_fract_z
Na1 0.000 0.000 0.000
Zr1 0.000 0.500 0.500
Cr1 0.000 0.000 0.500
N1 0.500 0.500 0.000
# Size of the total moment: 1.0 μB/f.u.
# ΔE_f (raw): 1.7009 eV per atom
# Density: 4159 kg/m3


- Which formula does entry 8 have?
  NaZr2CrN


- Look up the density of the fifth one.
  7143 kg/m3


- What is the formula in the seventh record?
  Na2CrWN4


- Which of these has the highest density?
  Na4U3CrN8